{"formula": "MnReOF2", "functional": "PBE+U", "state": "relaxed", "cell": [[-0.3857, -4.0251, -0.4463], [3.6728, -0.5365, 1.6649], [-1.7733, -0.2547, 3.8299]], "species": ["Re", "Mn", "O", "F", "F"], "frac_coords": [[0.5000, 0.5000, 0.5000], [0.0000, 0.0000, 0.0000], [0.0000, 0.0000, 0.5000], [0.0000, 0.5000, 0.0000], [0.5000, 0.0000, 0.0000]], "spacegroup": "P4/mmm (123)", "total_magnetization_mub_per_fu": 9.96, "polymorph_energy_ev_per_atom": 0.283}